Record 1
The following is a PBE calculation of Cs2ZrAu2Se4 after structural relaxation, from OQMD.

uncorrected energy: -4.37 eV/atom

```
9
Lattice="3.138 -7.258 0.000 3.138 7.258 0.000 0.000 0.000 6.272" Properties=species:S:1:pos:R:3 pbc="T T T"
Cs 1.569 3.629 1.482
Cs 1.569 -3.629 4.790
Zr 0.000 0.000 3.136
Au 0.000 0.000 0.000
Au 3.138 0.000 3.136
Se 1.479 1.513 4.607
Se 1.479 -1.513 1.664
Se 4.796 1.513 1.664
Se 4.796 -1.513 4.607
```

Record 2
The following is a PBE calculation of CsSiAu after structural relaxation, from OQMD.

polymorph energy (0 for the lowest one): 494 meV per atom

```
12
Lattice="7.847 0.000 0.000 0.000 7.847 0.000 0.000 0.000 7.847" Properties=species:S:1:pos:R:3 pbc="T T T"
Cs 0.000 0.000 0.000
Cs 0.000 3.923 3.923
Cs 3.923 0.000 3.923
Cs 3.923 3.923 0.000
Si 1.962 1.962 1.962
Si 1.962 5.885 5.885
Si 5.885 1.962 5.885
Si 5.885 5.885 1.962
Au 1.962 1.962 5.885
Au 1.962 5.885 1.962
Au 5.885 1.962 1.962
Au 5.885 5.885 5.885
```

Record 3
The following is a PBE calculation of CsSiAu2 after structural relaxation, from OQMD.

uncorrected energy: -3.50 eV/atom

```
16
Lattice="8.296 0.000 0.000 0.000 4.623 0.000 0.000 0.000 12.098" Properties=species:S:1:pos:R:3 pbc="T T T"
Cs 1.055 1.156 1.320
Cs 3.093 3.468 7.369
Cs 5.203 1.156 4.730
Cs 7.241 3.468 10.779
Si 0.568 3.468 4.321
Si 3.580 1.156 10.370
Si 4.716 3.468 1.728
Si 7.728 1.156 7.778
Au 0.395 1.156 5.296
Au 1.327 1.156 9.366
Au 2.821 3.468 3.317
Au 3.753 3.468 11.345
Au 4.543 1.156 0.754
Au 5.475 1.156 8.782
Au 6.969 3.468 2.732
Au 7.901 3.468 6.803
```

Record 4
The following is a PBE calculation of CsSiAu3 after structural relaxation, from OQMD.

polymorph energy (0 for the lowest one): 72 meV per atom

```
10
Lattice="4.875 0.000 0.000 0.000 7.009 0.000 0.000 0.000 7.309" Properties=species:S:1:pos:R:3 pbc="T T T"
Cs 0.000 0.000 0.000
Cs 0.000 3.504 3.654
Si 2.437 0.000 4.377
Si 2.437 3.504 0.723
Au 0.000 0.000 3.607
Au 0.000 3.504 7.262
Au 2.437 1.462 2.144
Au 2.437 2.043 5.798
Au 2.437 4.966 5.798
Au 2.437 5.547 2.144
```

Record 5
The following is a PBE calculation of CsSiAu after structural relaxation, from OQMD.

polymorph energy (0 for the lowest one): 0 meV per atom

```
12
Lattice="7.427 0.000 0.000 0.000 7.427 0.000 0.000 0.000 7.427" Properties=species:S:1:pos:R:3 pbc="T T T"
Cs 0.000 0.000 0.000
Cs 0.000 3.714 3.714
Cs 3.714 0.000 3.714
Cs 3.714 3.714 0.000
Si 0.000 0.000 3.714
Si 0.000 3.714 0.000
Si 3.714 0.000 0.000
Si 3.714 3.714 3.714
Au 1.857 1.857 1.857
Au 1.857 5.570 5.570
Au 5.570 1.857 5.570
Au 5.570 5.570 1.857
```

Record 6
The following is a PBE calculation of CsSiAu3 after structural relaxation, from OQMD.

polymorph energy (0 for the lowest one): 127 meV per atom

```
5
Lattice="5.059 0.000 0.000 0.000 5.059 0.000 0.000 0.000 5.059" Properties=species:S:1:pos:R:3 pbc="T T T"
Cs 0.000 0.000 0.000
Si 2.530 2.530 2.530
Au 0.000 2.530 2.530
Au 2.530 0.000 2.530
Au 2.530 2.530 0.000
```

Record 7
The following is a PBE calculation of CsSiAu3 after structural relaxation, from OQMD.

polymorph energy (0 for the lowest one): 0 meV per atom

```
10
Lattice="6.864 0.000 0.000 -2.763 6.294 0.000 -3.377 -2.232 6.401" Properties=species:S:1:pos:R:3 pbc="T T T"
Cs -1.426 0.946 3.182
Cs 2.150 3.115 3.219
Si -0.787 5.001 0.793
Si 1.511 -0.939 5.609
Au 0.000 0.000 0.000
Au 0.067 2.776 0.035
Au -0.861 -1.053 6.386
Au 1.744 -1.116 3.201
Au 1.585 5.114 0.015
Au 0.657 1.286 6.366
```

Record 8
The following is a PBE calculation of CsSiTe3Au after structural relaxation, from OQMD.

uncorrected energy: -3.38 eV/atom

```
12
Lattice="1.930 -8.963 0.000 1.930 8.963 0.000 0.000 0.000 11.321" Properties=species:S:1:pos:R:3 pbc="T T T"
Cs 1.930 4.724 8.491
Cs 1.930 -4.724 2.830
Si 1.930 0.000 0.000
Si 1.930 0.000 5.660
Te 1.930 6.988 0.217
Te 1.930 6.988 5.444
Te 1.930 0.710 2.830
Te 1.930 -0.710 8.491
Te 1.930 -6.988 5.877
Te 1.930 -6.988 11.104
Au 1.930 7.288 2.830
Au 1.930 -7.288 8.491
```

> What is the formula in the seventh record?

CsSiAu3

> Number 8 is which compound?

CsSiTe3Au